# 1
{
  "formula": "Ac3Sb2Au9",
  "functional": "PBE",
  "state": "optimized geometry",
  "e_form_raw_ev_per_atom": -0.601,
  "sg": "No. 71",
  "lattice_angstrom": [[-2.381, 5.157, 6.938], [2.381, -5.157, 6.938], [2.381, 5.157, -6.938]],
  "species": ["Ac", "Ac", "Ac", "Sb", "Sb", "Au", "Au", "Au", "Au", "Au", "Au", "Au", "Au", "Au"],
  "fractional_positions": [[0.000, 0.000, 0.000], [0.304, 0.304, 0.000], [0.696, 0.696, 0.000], [0.291, 0.500, 0.791], [0.709, 0.500, 0.209], [0.032, 0.665, 0.367], [0.145, 0.863, 0.282], [0.297, 0.665, 0.633], [0.419, 0.137, 0.282], [0.500, 0.000, 0.500], [0.581, 0.863, 0.718], [0.703, 0.335, 0.367], [0.855, 0.137, 0.718], [0.968, 0.335, 0.633]]
}



# 2
{
  "formula": "Pr2HoEr5Sc",
  "functional": "PBE",
  "state": "optimized geometry",
  "ef_ev_per_atom": 0.28,
  "sg": "No. 140",
  "lattice_angstrom": [[-4.234, 4.234, 7.873], [4.234, -4.234, 7.873], [4.234, 4.234, -7.873]],
  "species": ["Pr", "Pr", "Pr", "Pr", "Ho", "Ho", "Er", "Er", "Er", "Er", "Er", "Er", "Er", "Er", "Er", "Er", "Sc", "Sc"],
  "fractional_positions": [[0.121, 0.621, 0.741], [0.379, 0.121, 0.500], [0.621, 0.879, 0.500], [0.879, 0.379, 0.259], [0.250, 0.250, 0.000], [0.750, 0.750, 0.000], [0.000, 0.000, 0.000], [0.067, 0.144, 0.500], [0.144, 0.644, 0.077], [0.356, 0.433, 0.500], [0.433, 0.933, 0.077], [0.500, 0.500, 0.000], [0.567, 0.067, 0.923], [0.644, 0.567, 0.500], [0.856, 0.356, 0.923], [0.933, 0.856, 0.500], [0.250, 0.750, 0.500], [0.750, 0.250, 0.500]]
}



# 3
{
  "formula": "NiIrW2",
  "functional": "PBE",
  "state": "optimized geometry",
  "ef_ev_per_atom": -0.08,
  "sg": "No. 139",
  "lattice_angstrom": [[-1.912, 1.912, 3.945], [1.912, -1.912, 3.945], [1.912, 1.912, -3.945]],
  "species": ["Ni", "Ir", "W", "W"],
  "fractional_positions": [[0.000, 0.000, 0.000], [0.500, 0.500, 0.000], [0.250, 0.750, 0.500], [0.750, 0.250, 0.500]]
}